No. 1
5
Lattice="-2.485 1.377 -4.015 -0.718 -4.781 -1.195 -4.185 -0.017 2.585" Properties=species:S:1:pos:R:3 comment="CdTc2MoPb (PBE, relaxed)" e_form_ev_per_atom=2.228 spacegroup=P4/mmm pbc="T T T"
Tc -1.243 0.688 -2.008
Tc -2.092 -0.008 1.292
Mo -0.359 -2.390 -0.597
Cd 0.000 0.000 0.000
Pb -3.694 -1.710 -1.313


No. 2
20
Lattice="3.254 0.000 0.000 0.000 10.122 0.000 0.000 0.000 10.122" Properties=species:S:1:pos:R:3 comment="Nd2AlSi2Ru5 (PBE, relaxed)" raw_formation_energy_ev_per_atom=-0.54 spacegroup=P4/mbm pbc="T T T"
Ru 1.627 2.951 5.727
Ru 1.627 7.172 4.395
Ru 1.627 4.395 2.951
Ru 1.627 0.000 5.061
Ru 1.627 5.727 7.172
Ru 1.627 9.457 2.111
Ru 1.627 0.666 8.012
Ru 1.627 5.061 0.000
Ru 1.627 8.012 9.457
Ru 1.627 2.111 0.666
Nd 0.000 3.301 8.362
Nd 0.000 1.760 3.301
Nd 0.000 6.821 1.760
Nd 0.000 8.362 6.821
Si 0.000 1.286 6.347
Si 0.000 6.347 8.837
Si 0.000 8.837 3.776
Si 0.000 3.776 1.286
Al 0.000 0.000 0.000
Al 0.000 5.061 5.061


Number 1: calculated total energy -5.01 eV/atom. Number 2: calculated total energy -7.59 eV/atom.